Below is H2PbF at its PBEsol-relaxed geometry, with properties calculated at the SCAN level.

Structure (POSCAR):
```
H2PbF
1.0
3.876 0.000 0.000
0.000 3.876 0.000
0.000 0.000 12.907
H Pb F
8 4 4
direct
0.162 0.250 0.125
0.250 0.662 0.375
0.250 0.838 0.875
0.338 0.250 0.625
0.662 0.750 0.625
0.750 0.162 0.875
0.750 0.338 0.375
0.838 0.750 0.125
0.000 0.000 0.000
0.000 0.500 0.250
0.500 0.000 0.750
0.500 0.500 0.500
0.000 0.000 0.500
0.000 0.500 0.750
0.500 0.000 0.250
0.500 0.500 0.000
```

* calculated density: 7.8 g cm⁻³
* M_tot: 0.00 μB per atom
* electronic total energy: -348.1 eV per cell
* crystal system: tetragonal
* SG: I-42d, No. 122